Record 1
The following is a PBE calculation of a relaxed structure of Pm2PuIn9, from the Alexandria database.

Cell lengths 4.6778, 4.6778, 14.0632 Å; angles 90.00, 90.00, 90.00 degrees
Last column: nearest neighbours and their distance in Å.
Sites, in units of the cell vectors:
In 0.0000 0.5000 0.1640  8 In 3.28-3.32, 2 Pu 3.28, 2 Pm 3.34
In 0.5000 0.0000 0.1640  8 In 3.28-3.32, 2 Pu 3.28, 2 Pm 3.34
In 0.5000 0.5000 0.3318  4 Pm 3.31, 8 In 3.32-3.33
In 0.5000 0.0000 0.5000  4 Pm 3.31, 8 In 3.31-3.33
In 0.0000 0.5000 0.5000  4 Pm 3.31, 8 In 3.31-3.33
In 0.0000 0.5000 0.8360  2 Pu 3.28, 8 In 3.28-3.32, 2 Pm 3.34
In 0.5000 0.5000 0.6682  4 Pm 3.31, 8 In 3.32-3.33
In 0.5000 0.5000 0.0000  8 In 3.28, 4 Pu 3.31
In 0.5000 0.0000 0.8360  8 In 3.28-3.32, 2 Pu 3.28, 2 Pm 3.34
Pm 0.0000 0.0000 0.6662  12 In 3.31-3.34
Pm 0.0000 0.0000 0.3338  12 In 3.31-3.34
Pu 0.0000 0.0000 0.0000  12 In 3.28-3.31

Computed properties:
DOS at the Fermi energy: 1.347 states/eV/atom
formation energy: -387 meV per atom

***

Record 2
The following is a PBE calculation of a relaxed structure of PmPuIn4, from the Alexandria database.

Cell lengths 6.0599, 6.0599, 6.0599 Å; angles 60.00, 60.00, 60.00 degrees
Last column: nearest neighbours and their distance in Å.
Sites, in units of the cell vectors:
Pu 0.0000 0.0000 0.0000  12 In 3.55, 4 Pm 3.71
In 0.6251 0.6251 0.1248  6 In 3.03
In 0.6251 0.6251 0.6251  6 In 3.03
In 0.1248 0.6251 0.6251  6 In 3.03
In 0.6251 0.1248 0.6251  6 In 3.03
Pm 0.2500 0.2500 0.2500  12 In 3.55, 4 Pu 3.71

Computed properties:
DOS at the Fermi energy: 3.242 states/eV/atom
formation energy: -249 meV per atom

***

Record 3
The following is a PBE calculation of a relaxed structure of PmPuIn6, from the Alexandria database.

Cell lengths 4.6715, 4.6715, 9.3682 Å; angles 90.00, 90.00, 90.00 degrees
Last column: nearest neighbours and their distance in Å.
Sites, in units of the cell vectors:
In 0.5000 0.0000 0.2536  8 In 3.28-3.33, 2 Pu 3.28, 2 Pm 3.33
In 0.0000 0.5000 0.7464  8 In 3.28-3.33, 2 Pu 3.28, 2 Pm 3.33
In 0.5000 0.5000 0.5000  8 In 3.28, 4 Pu 3.30
In 0.0000 0.5000 0.2536  8 In 3.28-3.33, 2 Pu 3.28, 2 Pm 3.33
In 0.5000 0.5000 0.0000  4 Pm 3.30, 8 In 3.33
In 0.5000 0.0000 0.7464  8 In 3.28-3.33, 2 Pu 3.28, 2 Pm 3.33
Pu 0.0000 0.0000 0.5000  12 In 3.28-3.30
Pm 0.0000 0.0000 0.0000  12 In 3.30-3.33

Computed properties:
DOS at the Fermi energy: 1.773 states/eV/atom
formation energy: -347 meV per atom

***

Record 4
The following is a PBE calculation of a relaxed structure of PmPuIn, from the Alexandria database.

Cell lengths 3.3366, 5.3794, 5.3794 Å; angles 120.00, 90.00, 90.00 degrees
Last column: nearest neighbours and their distance in Å.
Sites, in units of the cell vectors:
Pm 0.3210 0.6667 0.3333  3 In 3.29, 3 Pu 3.33, 2 Pm 3.34
In 0.9947 0.0000 0.0000  3 Pu 3.27, 3 Pm 3.29, 2 In 3.34
Pu 0.6843 0.3333 0.6667  3 In 3.27, 3 Pm 3.33, 2 Pu 3.34

Computed properties:
DOS at the Fermi energy: 2.520 states/eV/atom
formation energy: -84 meV per atom

***

Record 5
The following is a PBE calculation of a relaxed structure of Pm12PuIn3, from the Alexandria database.

Cell lengths 4.9520, 4.9520, 20.1263 Å; angles 90.00, 90.00, 90.00 degrees
Last column: nearest neighbours and their distance in Å.
Sites, in units of the cell vectors:
In 0.0000 0.0000 0.5000  12 Pm 3.50-3.51
In 0.0000 0.0000 0.2541  12 Pm 3.49-3.55
In 0.0000 0.0000 0.7459  12 Pm 3.49-3.55
Pu 0.0000 0.0000 0.0000  12 Pm 3.50-3.57
Pm 0.5000 0.0000 0.1278  8 Pm 3.50-3.57, 2 In 3.55, 2 Pu 3.57
Pm 0.5000 0.5000 0.2520  4 In 3.50, 8 Pm 3.52
Pm 0.5000 0.0000 0.8722  8 Pm 3.50-3.57, 2 In 3.55, 2 Pu 3.57
Pm 0.5000 0.0000 0.6239  4 In 3.49-3.51, 8 Pm 3.50-3.52
Pm 0.0000 0.5000 0.3761  4 In 3.49-3.51, 8 Pm 3.50-3.52
Pm 0.5000 0.5000 0.0000  4 Pu 3.50, 8 Pm 3.57
Pm 0.5000 0.5000 0.7480  4 In 3.50, 8 Pm 3.52
Pm 0.0000 0.5000 0.8722  8 Pm 3.50-3.57, 2 In 3.55, 2 Pu 3.57
Pm 0.5000 0.5000 0.5000  4 In 3.50, 8 Pm 3.51
Pm 0.0000 0.5000 0.1278  8 Pm 3.50-3.57, 2 In 3.55, 2 Pu 3.57
Pm 0.0000 0.5000 0.6239  4 In 3.49-3.51, 8 Pm 3.50-3.52
Pm 0.5000 0.0000 0.3761  4 In 3.49-3.51, 8 Pm 3.50-3.52

Computed properties:
DOS at the Fermi energy: 1.736 states/eV/atom
formation energy: -173 meV per atom

***

Record 6
The following is a PBE calculation of a relaxed structure of PmPuInSb, from the Alexandria database.

Cell lengths 5.3972, 5.3972, 5.3972 Å; angles 60.00, 60.00, 60.00 degrees
Last column: nearest neighbours and their distance in Å.
Sites, in units of the cell vectors:
Pu 0.2500 0.2500 0.2500  4 In 3.31, 4 Sb 3.31
Pm 0.7500 0.7500 0.7500  4 In 3.31, 4 Sb 3.31
In 0.5000 0.5000 0.5000  4 Pm 3.31, 4 Pu 3.31
Sb 0.0000 0.0000 0.0000  4 Pm 3.31, 4 Pu 3.31

Computed properties:
DOS at the Fermi energy: 2.959 states/eV/atom
energy relative to the elements, uncorrected: -1.733 eV/f.u.

***

Record 7
The following is a PBE calculation of a relaxed structure of PmSmPuIn, from the Alexandria database.

Cell lengths 5.5001, 5.5001, 5.5001 Å; angles 60.00, 60.00, 60.00 degrees
Last column: nearest neighbours and their distance in Å.
Sites, in units of the cell vectors:
Pm 0.7500 0.7500 0.7500  4 Pu 3.37, 4 Sm 3.37
Sm 0.5000 0.5000 0.5000  4 In 3.37, 4 Pm 3.37
Pu 0.0000 0.0000 0.0000  4 In 3.37, 4 Pm 3.37
In 0.2500 0.2500 0.2500  4 Pu 3.37, 4 Sm 3.37

Computed properties:
DOS at the Fermi energy: 2.801 states/eV/atom
formation energy: 10 meV per atom

***

Record 8
The following is a PBE calculation of a relaxed structure of PmPuInSn, from the Alexandria database.

Cell lengths 5.4026, 5.4026, 5.4026 Å; angles 60.00, 60.00, 60.00 degrees
Last column: nearest neighbours and their distance in Å.
Sites, in units of the cell vectors:
Pu 0.2500 0.2500 0.2500  4 Sn 3.31, 4 In 3.31
In 0.5000 0.5000 0.5000  4 Pu 3.31, 4 Pm 3.31
Pm 0.7500 0.7500 0.7500  4 In 3.31, 4 Sn 3.31
Sn 0.0000 0.0000 0.0000  4 Pm 3.31, 4 Pu 3.31

Computed properties:
DOS at the Fermi energy: 2.800 states/eV/atom
formation energy: -358 meV per atom

***

Record 9
The following is a PBE calculation of a relaxed structure of PmPuIn2Te4, from the Alexandria database.

Cell lengths 4.4802, 7.7603, 8.4824 Å; angles 107.77, 90.00, 90.00 degrees
Last column: nearest neighbours and their distance in Å.
Sites, in units of the cell vectors:
Te 0.5000 0.7571 0.7745  1 Pu 3.16, 2 Pm 3.17, 3 In 3.40-3.41
Te 0.5000 0.2429 0.2255  1 Pu 3.16, 2 Pm 3.17, 3 In 3.40-3.41
Te 0.0000 0.2619 0.7779  2 Pu 3.14, 1 Pm 3.17, 3 In 3.41-3.43
Te 0.0000 0.7381 0.2221  2 Pu 3.14, 1 Pm 3.17, 3 In 3.41-3.43
Pm 0.0000 0.0000 0.0000  6 Te 3.17
In 0.0000 0.5000 0.5000  6 Te 3.40-3.41
In 0.5000 0.0000 0.5000  6 Te 3.41-3.43
Pu 0.5000 0.5000 0.0000  6 Te 3.14-3.16

Computed properties:
DOS at the Fermi energy: 1.850 states/eV/atom
energy relative to the elements, uncorrected: -6.720 eV/f.u.

***

Record 10
The following is a PBE calculation of a relaxed structure of Pm2PuIn3Te6, from the Alexandria database.

Cell lengths 7.7789, 7.7789, 8.4754 Å; angles 98.80, 98.80, 120.02 degrees
Last column: nearest neighbours and their distance in Å.
Sites, in units of the cell vectors:
In 0.5000 0.5000 0.5000  6 Te 3.41-3.42
In 0.8320 0.1680 0.5000  6 Te 3.41-3.42
In 0.1680 0.8320 0.5000  6 Te 3.41-3.42
Pm 0.6665 0.3335 0.0000  6 Te 3.17
Pm 0.3335 0.6665 0.0000  6 Te 3.17
Te 0.9253 0.5934 0.7754  1 Pu 3.15, 2 Pm 3.17, 3 In 3.41
Te 0.7436 0.7436 0.2257  1 Pu 3.16, 2 Pm 3.17, 3 In 3.42
Te 0.4066 0.0747 0.2246  1 Pu 3.15, 2 Pm 3.17, 3 In 3.41
Te 0.0747 0.4066 0.2246  1 Pu 3.15, 2 Pm 3.17, 3 In 3.41
Te 0.5934 0.9253 0.7754  1 Pu 3.15, 2 Pm 3.17, 3 In 3.41
Te 0.2564 0.2564 0.7743  1 Pu 3.16, 2 Pm 3.17, 3 In 3.42
Pu 0.0000 0.0000 0.0000  6 Te 3.15-3.16

Computed properties:
DOS at the Fermi energy: 1.277 states/eV/atom
energy relative to the elements, uncorrected: -10.645 eV/f.u.

***

Record 11
The following is a PBE calculation of a relaxed structure of PmPuThIn, from the Alexandria database.

Cell lengths 5.4628, 5.4628, 5.4628 Å; angles 60.00, 60.00, 60.00 degrees
Last column: nearest neighbours and their distance in Å.
Sites, in units of the cell vectors:
Th 0.7500 0.7500 0.7500  4 Pm 3.35, 4 Pu 3.35
Pm 0.5000 0.5000 0.5000  4 In 3.35, 4 Th 3.35
Pu 0.0000 0.0000 0.0000  4 Th 3.35, 4 In 3.35
In 0.2500 0.2500 0.2500  4 Pu 3.35, 4 Pm 3.35

Computed properties:
DOS at the Fermi energy: 3.070 states/eV/atom
formation energy: 57 meV per atom

***

Record 12
The following is a PBE calculation of a relaxed structure of PmYPuIn, from the Alexandria database.

Cell lengths 5.4603, 5.4603, 5.4603 Å; angles 60.00, 60.00, 60.00 degrees
Last column: nearest neighbours and their distance in Å.
Sites, in units of the cell vectors:
Pm 0.0000 0.0000 0.0000  4 In 3.34, 4 Pu 3.34
In 0.7500 0.7500 0.7500  4 Y 3.34, 4 Pm 3.34
Y 0.5000 0.5000 0.5000  4 Pu 3.34, 4 In 3.34
Pu 0.2500 0.2500 0.2500  4 Pm 3.34, 4 Y 3.34

Computed properties:
DOS at the Fermi energy: 3.877 states/eV/atom
formation energy: -59 meV per atom

***

Record 13
The following is a PBE calculation of a relaxed structure of PmPuZnIn, from the Alexandria database.

Cell lengths 5.2960, 5.2960, 5.2960 Å; angles 60.00, 60.00, 60.00 degrees
Last column: nearest neighbours and their distance in Å.
Sites, in units of the cell vectors:
Pm 0.7500 0.7500 0.7500  4 In 3.24, 4 Zn 3.24
Zn 0.0000 0.0000 0.0000  4 Pu 3.24, 4 Pm 3.24
Pu 0.2500 0.2500 0.2500  4 In 3.24, 4 Zn 3.24
In 0.5000 0.5000 0.5000  4 Pm 3.24, 4 Pu 3.24

Computed properties:
DOS at the Fermi energy: 2.073 states/eV/atom
formation energy: -193 meV per atom